Ni6Sn2Rh: optimized geometry, PBE.

Cell: 5.030 5.030 6.124 Å, 99.60 99.60 56.73°
Atoms (fractional coordinates):
Ni 0.162 0.675 0.820
Ni 0.320 0.320 0.113
Ni 0.325 0.838 0.180
Ni 0.675 0.162 0.820
Ni 0.680 0.680 0.887
Ni 0.838 0.325 0.180
Sn 0.158 0.158 0.674
Sn 0.842 0.842 0.326
Rh 0.500 0.500 0.500

E_form: 50 meV/atom
N(E_F): 13.3 states/eV/cell
space group: C2/m, No. 12

---

NiSn4Rh: optimized geometry, PBE.

Cell: 7.241 7.241 7.241 Å, 104.25 104.25 120.51°
Atoms (fractional coordinates):
Ni 0.000 0.000 0.000
Ni 0.750 0.250 0.500
Sn 0.022 0.239 0.783
Sn 0.456 0.239 0.217
Sn 0.499 0.206 0.707
Sn 0.499 0.792 0.293
Sn 0.542 0.749 0.793
Sn 0.956 0.749 0.207
Sn 0.989 0.272 0.283
Sn 0.989 0.706 0.717
Rh 0.237 0.737 0.500
Rh 0.487 0.487 0.000

E_form: -217 meV/atom
N(E_F): 4.1 states/eV/cell
space group: I4_1md, No. 109

---

Ni2SnRh2: optimized geometry, PBE.

Cell: 6.994 6.994 3.043 Å, 90.00 90.00 90.00°
Atoms (fractional coordinates):
Ni 0.160 0.340 0.000
Ni 0.340 0.840 0.000
Ni 0.660 0.160 0.000
Ni 0.840 0.660 0.000
Sn 0.000 0.000 0.500
Sn 0.500 0.500 0.500
Rh 0.134 0.634 0.500
Rh 0.366 0.134 0.500
Rh 0.634 0.866 0.500
Rh 0.866 0.366 0.500

energy above the lowest structure with this stoichiometry: 43 meV per atom
E_form: 86 meV/atom
N(E_F): 10.0 states/eV/cell
space group: P4/mbm, No. 127

---

NiSnRh3: optimized geometry, PBE.

Cell: 6.441 6.441 5.511 Å, 90.00 90.00 138.66°
Atoms (fractional coordinates):
Ni 0.003 0.997 0.750
Ni 0.997 0.003 0.250
Sn 0.390 0.610 0.750
Sn 0.610 0.390 0.250
Rh 0.182 0.818 0.506
Rh 0.182 0.818 0.994
Rh 0.381 0.619 0.250
Rh 0.619 0.381 0.750
Rh 0.818 0.182 0.006
Rh 0.818 0.182 0.494

energy above the lowest structure with this stoichiometry: 0 meV per atom
E_form: -108 meV/atom
N(E_F): 14.8 states/eV/cell
space group: Cmcm, No. 63

---

NiSnRh: optimized geometry, PBE.

Cell: 4.893 4.893 4.893 Å, 141.21 141.21 56.02°
Atoms (fractional coordinates):
Ni 0.000 0.000 0.000
Sn 0.655 0.655 0.000
Rh 0.327 0.327 0.000

E_form: -153 meV/atom
N(E_F): 2.1 states/eV/cell
space group: I4mm, No. 107

---

Ni8SnRh2: optimized geometry, PBE.

Cell: 6.843 6.843 5.811 Å, 104.88 104.88 31.16°
Atoms (fractional coordinates):
Ni 0.046 0.046 0.217
Ni 0.139 0.139 0.686
Ni 0.315 0.315 0.588
Ni 0.410 0.410 0.037
Ni 0.590 0.590 0.963
Ni 0.685 0.685 0.412
Ni 0.861 0.861 0.314
Ni 0.954 0.954 0.783
Sn 0.500 0.500 0.500
Rh 0.225 0.225 0.140
Rh 0.775 0.775 0.860

E_form: -33 meV/atom
N(E_F): 18.1 states/eV/cell
space group: C2/m, No. 12

---

NiSn3Rh: optimized geometry, PBE.

Cell: 4.846 4.846 4.846 Å, 90.00 90.00 90.00°
Atoms (fractional coordinates):
Ni 0.000 0.000 0.000
Sn 0.000 0.000 0.500
Sn 0.000 0.500 0.000
Sn 0.500 0.000 0.000
Rh 0.500 0.500 0.500

energy above the lowest structure with this stoichiometry: 580 meV per atom
E_form: 365 meV/atom
N(E_F): 4.4 states/eV/cell
space group: Pm-3m, No. 221

---

Ni2Sn8Rh: optimized geometry, PBE.

Cell: 4.877 8.258 8.260 Å, 60.10 90.00 90.00°
Atoms (fractional coordinates):
Ni 0.231 0.167 0.166
Ni 0.769 0.833 0.834
Sn 0.217 0.344 0.341
Sn 0.217 0.815 0.344
Sn 0.218 0.341 0.815
Sn 0.275 0.834 0.834
Sn 0.725 0.166 0.166
Sn 0.782 0.659 0.185
Sn 0.783 0.185 0.656
Sn 0.783 0.656 0.659
Rh 0.500 0.500 0.500

E_form: 20 meV/atom
N(E_F): 8.0 states/eV/cell
space group: P-1, No. 2

---

Copy entry 7 word for word.
NiSn3Rh: optimized geometry, PBE.

Cell: 4.846 4.846 4.846 Å, 90.00 90.00 90.00°
Atoms (fractional coordinates):
Ni 0.000 0.000 0.000
Sn 0.000 0.000 0.500
Sn 0.000 0.500 0.000
Sn 0.500 0.000 0.000
Rh 0.500 0.500 0.500

energy above the lowest structure with this stoichiometry: 580 meV per atom
E_form: 365 meV/atom
N(E_F): 4.4 states/eV/cell
space group: Pm-3m, No. 221

---

> Which value of N(E_F) does entry 1 give?

13.3 states/eV/cell

---

> Number 1 is which compound?

Ni6Sn2Rh

---

> The lowest E_form belongs to which entry?

NiSn4Rh